CaAl2Tl PBE relaxed; symmetry = R-3m, No. 166; energy of formation = 189 meV per atom; energy above the lowest structure with this stoichiometry = 267 meV per atom
1.0
1.721 0.994 9.954
-1.721 0.994 9.954
0.000 -1.988 9.954
Ca Al Tl
1 2 1
direct
0.000 0.000 0.000
0.250 0.250 0.250
0.750 0.750 0.750
0.500 0.500 0.500


CaAlTl PBE relaxed; symmetry = I4mm, No. 107; energy of formation = -112 meV per atom
1.0
-1.858 1.858 5.699
1.858 -1.858 5.699
1.858 1.858 -5.699
Ca Al Tl
1 1 1
direct
0.000 0.000 0.000
0.321 0.321 0.000
0.690 0.690 0.000


CaAl2Tl PBE relaxed; symmetry = Pmmm, No. 47; energy of formation = -13 meV per atom; energy above the lowest structure with this stoichiometry = 64 meV per atom
1.0
3.278 0.000 0.000
0.000 5.136 0.000
0.000 0.000 5.726
Ca Al Tl
1 2 1
direct
0.000 0.000 0.000
0.500 0.500 0.239
0.500 0.500 0.761
0.500 0.000 0.500


CaAlTl PBE relaxed; symmetry = C2/m, No. 12; energy of formation = -252 meV per atom
1.0
5.717 -2.382 0.000
5.717 2.382 0.000
-5.045 0.000 5.704
Ca Al Tl
2 2 2
direct
0.049 0.049 0.299
0.951 0.951 0.701
0.351 0.351 0.892
0.649 0.649 0.108
0.326 0.326 0.259
0.674 0.674 0.741


Ca2AlTl PBE relaxed; symmetry = P4mm, No. 99; energy of formation = -99 meV per atom; energy above the lowest structure with this stoichiometry = 201 meV per atom
1.0
3.678 0.000 0.000
0.000 3.678 0.000
0.000 0.000 8.825
Ca Al Tl
2 1 1
direct
0.000 0.000 0.000
0.500 0.500 0.347
0.500 0.500 0.772
0.000 0.000 0.590


Ca2AlTl PBE relaxed; symmetry = Imm2, No. 44; energy of formation = -218 meV per atom; energy above the lowest structure with this stoichiometry = 82 meV per atom
1.0
-1.911 2.657 5.545
1.911 -2.657 5.545
1.911 2.657 -5.545
Ca Al Tl
2 1 1
direct
0.000 0.000 0.000
0.712 0.212 0.500
0.461 0.461 0.000
0.265 0.765 0.500


Ca2Al2Tl PBE relaxed; symmetry = P4/mbm, No. 127; energy of formation = -21 meV per atom; energy above the lowest structure with this stoichiometry = 138 meV per atom
1.0
8.889 0.000 0.000
0.000 8.889 0.000
0.000 0.000 3.614
Ca Al Tl
4 4 2
direct
0.186 0.314 0.000
0.314 0.814 0.000
0.686 0.186 0.000
0.814 0.686 0.000
0.105 0.605 0.500
0.395 0.105 0.500
0.605 0.895 0.500
0.895 0.395 0.500
0.000 0.000 0.000
0.500 0.500 0.000


CaAl2Tl PBE relaxed; symmetry = Cmm2, No. 35; energy of formation = -76 meV per atom; energy above the lowest structure with this stoichiometry = 1 meV per atom
1.0
2.507 -2.634 0.000
2.507 2.634 0.000
0.000 0.000 7.157
Ca Al Tl
1 2 1
direct
0.000 0.000 0.000
0.000 0.000 0.454
0.500 0.500 0.286
0.500 0.500 0.698


CaAl2Tl PBE relaxed; symmetry = Cm, No. 8; energy of formation = -41 meV per atom; energy above the lowest structure with this stoichiometry = 37 meV per atom
1.0
4.609 -1.766 0.000
4.609 1.766 0.000
-1.283 0.000 6.053
Ca Al Tl
1 2 1
direct
0.000 0.000 0.000
0.491 0.491 0.458
0.758 0.758 0.300
0.236 0.236 0.701


Ca4AlTl2 PBE relaxed; symmetry = R-3m, No. 166; energy of formation = -276 meV per atom
1.0
2.674 1.544 8.822
-2.674 1.544 8.822
0.000 -3.088 8.822
Ca Al Tl
4 1 2
direct
0.125 0.125 0.125
0.375 0.375 0.375
0.625 0.625 0.625
0.875 0.875 0.875
0.500 0.500 0.500
0.248 0.248 0.248
0.752 0.752 0.752


CaAlTl2 PBE relaxed; symmetry = Fm-3m, No. 225; energy of formation = -100 meV per atom
1.0
0.000 3.737 3.737
3.737 0.000 3.737
3.737 3.737 0.000
Ca Al Tl
1 1 2
direct
0.000 0.000 0.000
0.500 0.500 0.500
0.250 0.250 0.250
0.750 0.750 0.750


CaAlTl PBE relaxed; symmetry = P3m1, No. 156; energy of formation = -210 meV per atom
1.0
4.834 0.000 0.000
-2.417 4.187 0.000
0.000 0.000 3.758
Ca Al Tl
1 1 1
direct
0.000 0.000 0.000
0.333 0.667 0.499
0.667 0.333 0.501


Number 1: E -2.774 eV per atom. Number 2: E -2.815 eV per atom. Number 3: E -2.976 eV per atom. Number 4: E -2.955 eV per atom. Number 5: E -2.627 eV per atom. Number 6: E -2.746 eV per atom. Number 7: E -2.792 eV per atom. Number 8: E -3.039 eV per atom. Number 9: E -3.004 eV per atom. Number 10: E -2.631 eV per atom. Number 11: E -2.719 eV per atom. Number 12: E -2.914 eV per atom.